[1]
Cs3BiH2, relaxed, DFT GGA-PBE; electronic total energy = -2.3839 eV per atom
1.0
4.716 -0.594 0.867
1.696 6.042 -0.413
-0.717 -3.138 16.416
Cs H Bi
6 4 2
direct
0.716 0.796 0.070 Cs
0.840 0.100 0.300 Cs
0.284 0.204 0.930 Cs
0.160 0.900 0.700 Cs
0.308 0.692 0.425 Cs
0.692 0.308 0.575 Cs
0.626 0.491 0.199 H
0.734 0.796 0.555 H
0.374 0.509 0.801 H
0.266 0.204 0.445 H
0.745 0.548 0.817 Bi
0.255 0.452 0.183 Bi


[2]
Cs6Bi2H, relaxed, DFT GGA-PBE; electronic total energy = -2.0386 eV per atom
1.0
-0.802 -0.008 -8.538
8.414 -1.474 -0.789
-2.078 -11.972 0.212
Bi Cs H
4 12 2
direct
0.499 0.000 0.250 Bi
0.999 0.500 0.750 Bi
0.001 0.500 0.250 Bi
0.501 0.000 0.750 Bi
0.500 0.500 0.757 Cs
0.244 0.244 0.500 Cs
0.257 0.257 0.000 Cs
0.743 0.743 0.000 Cs
0.744 0.256 0.000 Cs
0.256 0.744 0.000 Cs
0.500 0.500 0.243 Cs
0.243 0.757 0.500 Cs
0.000 0.000 0.257 Cs
0.757 0.243 0.500 Cs
0.756 0.756 0.500 Cs
0.000 0.000 0.743 Cs
0.500 0.500 0.000 H
0.000 0.000 0.500 H


[3]
Cs4BiH, relaxed, DFT GGA-PBE; excess energy over the best structure of this formula in the dataset = 8 meV/atom
1.0
8.322 2.423 -3.402
-0.952 8.607 -3.407
-1.416 -2.126 11.322
Cs H Bi
8 2 2
direct
0.761 0.594 0.019 Cs
0.096 0.261 0.521 Cs
0.259 0.924 0.020 Cs
0.239 0.406 0.981 Cs
0.904 0.739 0.479 Cs
0.424 0.760 0.521 Cs
0.576 0.240 0.479 Cs
0.741 0.076 0.980 Cs
0.624 0.874 0.249 H
0.376 0.126 0.751 H
0.875 0.625 0.750 Bi
0.125 0.375 0.250 Bi


[4]
CsBi2H6, relaxed, DFT GGA-PBE; electronic total energy = -3.2371 eV per atom
1.0
-3.313 -0.301 4.465
-0.940 -4.916 2.443
5.108 0.938 3.845
H Bi Cs
6 2 1
direct
0.000 0.500 0.940 H
0.500 0.500 0.940 H
0.000 0.500 0.060 H
0.500 0.000 0.940 H
0.500 0.000 0.060 H
0.500 0.500 0.060 H
0.333 0.333 0.500 Bi
0.667 0.667 0.500 Bi
0.000 0.000 0.000 Cs


[5]
Cs4BiH, relaxed, DFT GGA-PBE; excess energy over the best structure of this formula in the dataset = 0 meV/atom
1.0
-3.154 -5.478 4.516
-0.995 -1.447 -11.053
8.852 -0.514 3.179
Cs Bi H
8 2 2
direct
0.575 0.042 0.301 Cs
0.131 0.228 0.846 Cs
0.425 0.958 0.699 Cs
0.774 0.741 0.699 Cs
0.869 0.772 0.154 Cs
0.785 0.382 0.154 Cs
0.226 0.259 0.301 Cs
0.215 0.618 0.846 Cs
0.607 0.357 0.714 Bi
0.393 0.643 0.286 Bi
0.248 0.998 0.996 H
0.752 0.002 0.004 H


[6]
Cs5BiH2, relaxed, DFT GGA-PBE; electronic total energy = -2.0871 eV per atom
1.0
6.581 0.000 0.000
-3.291 7.282 0.000
0.000 0.000 15.760
Bi Cs H
2 10 4
direct
0.496 0.993 0.750 Bi
0.504 0.007 0.250 Bi
0.959 0.919 0.622 Cs
0.348 0.697 0.039 Cs
0.959 0.919 0.878 Cs
0.348 0.697 0.461 Cs
0.652 0.303 0.961 Cs
0.214 0.428 0.750 Cs
0.786 0.572 0.250 Cs
0.652 0.303 0.539 Cs
0.041 0.081 0.122 Cs
0.041 0.081 0.378 Cs
0.845 0.689 0.456 H
0.845 0.689 0.044 H
0.155 0.311 0.956 H
0.155 0.311 0.544 H


[7]
CsBiH, relaxed, DFT GGA-PBE; excess energy over the best structure of this formula in the dataset = 136 meV/atom
1.0
4.725 0.005 -0.006
2.359 4.052 0.639
0.006 0.699 12.630
Bi Cs H
2 2 2
direct
0.144 0.705 0.440 Bi
0.851 0.291 0.564 Bi
0.617 0.760 0.856 Cs
0.379 0.237 0.148 Cs
0.696 0.602 0.100 H
0.300 0.394 0.904 H


[8]
Cs2BiH6, relaxed, DFT GGA-PBE; electronic total energy = -2.6187 eV per atom
1.0
4.929 0.000 0.000
0.000 6.019 -3.470
0.000 -0.004 6.947
H Cs Bi
6 2 1
direct
0.234 0.243 0.000 H
0.234 0.757 0.757 H
0.234 0.000 0.243 H
0.766 0.000 0.757 H
0.766 0.243 0.243 H
0.766 0.757 0.000 H
0.500 0.333 0.667 Cs
0.500 0.667 0.333 Cs
0.000 0.000 0.000 Bi